Compound: ZnCoO2
Source: Alexandria via LeMat-Bulk
Functional: GGA+U
Structure: relaxed

```
ZnCoO2
1.0
5.995 -1.644 0.000
5.995 1.644 0.000
-2.691 0.000 5.020
Zn Co O
2 2 4
Direct
0.000 0.000 0.000
0.249 0.249 0.917
0.500 0.500 0.499
0.751 0.751 0.417
0.059 0.059 0.725
0.310 0.310 0.309
0.560 0.560 0.226
0.809 0.809 0.809
```

## Properties
Fermi-level density of states: 0.00 states/eV per cell
space-group type: Cm
DFT total energy: -5.299 eV per atom